Compound: Be2CoO2
Source: Alexandria via LeMat-Bulk
Functional: PBE+U
Structure: relaxed

Cell and atoms, written as CIF:
```
data_Be2CoO2
_chemical_formula_sum 'Be4 Co2 O4'
_symmetry_space_group_name_H-M 'I 4/m m m'
_symmetry_Int_Tables_number 139
_symmetry_space_group_name_Hall '-I 4 2'
_cell_length_a 2.971
_cell_length_b 2.971
_cell_length_c 17.715
_cell_angle_alpha 90.00
_cell_angle_beta 90.00
_cell_angle_gamma 90.00
loop_
_atom_site_label
_atom_site_fract_x
_atom_site_fract_y
_atom_site_fract_z
Be1 0.000 0.500 0.250
Co1 0.000 0.000 0.000
O1 0.000 0.000 0.288
```

Calculated values
Mass density = 2.31 g/cm³
Calculated volume = 156.35 Å³/cell
Crystal system = tetragonal
DOS at the Fermi energy = 0.1404 states/eV/atom
Energy above the most stable polymorph in this dataset = 0.000 eV/atom